DFT (PBE) results for a relaxed NdDyGa4 crystal.

Cell and atoms, written as POSCAR:
```
NdDyGa4
1.0
5.575 0.000 0.000
2.788 4.828 0.000
2.788 1.609 4.552
Nd Ga Dy
1 4 1
Direct
0.000 0.000 0.000
0.625 0.625 0.125
0.625 0.125 0.625
0.625 0.625 0.625
0.125 0.625 0.625
0.250 0.250 0.250
```

* calculated formation energy: -0.553 eV/atom
* magnetization: 0.00 μB/atom